{
  "formula": "Tb4BSe2S",
  "functional": "GGA-PBE",
  "state": "optimized geometry",
  "lattice_angstrom": [[-2.826, 2.826, 5.657], [2.826, -2.826, 5.657], [2.826, 2.826, -5.657]],
  "species": ["Tb", "Tb", "Tb", "Tb", "B", "Se", "Se", "S"],
  "fractional_positions": [[0.229, 0.229, 0.000], [0.505, 0.005, 0.500], [0.771, 0.771, 0.000], [0.995, 0.495, 0.500], [0.000, 0.000, 0.000], [0.250, 0.750, 0.500], [0.500, 0.500, 0.000], [0.750, 0.250, 0.500]],
  "e_form_raw_mev_per_atom": -1481,
  "magmom_total_mub_per_fu": 0.00
}

{
  "formula": "Th6BSe3S2",
  "functional": "GGA-PBE",
  "state": "optimized geometry",
  "lattice_angstrom": [[9.072, -2.034, 0.000], [9.072, 2.034, 0.000], [-2.214, 0.000, 8.056]],
  "species": ["Th", "Th", "Th", "Th", "Th", "Th", "B", "Se", "Se", "Se", "S", "S"],
  "fractional_positions": [[0.004, 0.004, 0.222], [0.330, 0.330, 0.427], [0.345, 0.345, 0.911], [0.655, 0.655, 0.089], [0.670, 0.670, 0.573], [0.996, 0.996, 0.778], [0.500, 0.500, 0.000], [0.168, 0.168, 0.835], [0.500, 0.500, 0.500], [0.832, 0.832, 0.165], [0.167, 0.167, 0.333], [0.833, 0.833, 0.667]],
  "e_form_raw_mev_per_atom": -1468,
  "magmom_total_mub_per_fu": 0.00
}

{
  "formula": "Tm8BSe4S3",
  "functional": "GGA-PBE",
  "state": "optimized geometry",
  "lattice_angstrom": [[3.896, 2.249, 6.534], [-3.896, 2.249, 6.534], [0.000, -4.498, 6.534]],
  "species": ["Tm", "Tm", "Tm", "Tm", "Tm", "Tm", "Tm", "Tm", "B", "Se", "Se", "Se", "Se", "S", "S", "S"],
  "fractional_positions": [[0.242, 0.242, 0.242], [0.261, 0.728, 0.728], [0.272, 0.272, 0.739], [0.272, 0.739, 0.272], [0.728, 0.261, 0.728], [0.728, 0.728, 0.261], [0.739, 0.272, 0.272], [0.758, 0.758, 0.758], [0.500, 0.500, 0.500], [0.000, 0.000, 0.000], [0.000, 0.500, 0.500], [0.500, 0.000, 0.500], [0.500, 0.500, 0.000], [0.000, 0.000, 0.500], [0.000, 0.500, 0.000], [0.500, 0.000, 0.000]],
  "e_form_raw_mev_per_atom": -1689,
  "magmom_total_mub_per_fu": 0.00
}